A relaxed BaFeIr crystal, computed with PBE.

Lattice parameters (Å, degrees): 4.655 4.655 4.655 60.00 60.00 60.00
Element x y z (fractional)
Ba 0.000 0.000 0.000
Fe 0.250 0.250 0.250
Ir 0.500 0.500 0.500

**Space group**: No. 216
**Formation energy from the elements**: 0.798 eV per atom
**E**: -5.62 eV/atom



A relaxed BaFe4Ir crystal, computed with PBE.

Lattice parameters (Å, degrees): 5.158 5.158 5.158 60.00 60.00 60.00
Element x y z (fractional)
Ba 0.000 0.000 0.000
Fe 0.132 0.623 0.623
Fe 0.623 0.132 0.623
Fe 0.623 0.623 0.132
Fe 0.623 0.623 0.623
Ir 0.250 0.250 0.250

**Space group**: No. 216
**Formation energy from the elements**: 0.578 eV per atom
**E**: -6.86 eV/atom